The following is a DFT calculation (GGA-PBE) of a geometry-optimized Li2UPbCl8 structure.

Cell and atoms, written as POSCAR:
```
Li2UPbCl8
1.0
6.638 0.000 0.000
-1.294 6.802 0.000
-0.006 -2.668 8.212
Li U Pb Cl
2 1 1 8
direct
0.041 0.360 0.327
0.959 0.640 0.673
0.500 0.000 0.000
0.500 0.000 0.500
0.112 0.724 0.449
0.145 0.750 0.934
0.365 0.222 0.282
0.384 0.218 0.827
0.616 0.782 0.173
0.635 0.778 0.718
0.855 0.250 0.066
0.888 0.276 0.551
```

Output
Uncorrected formation energy (eV per formula unit): -19.155
DOS at the Fermi energy (states/eV/f.u.): 4.3
Raw total energy (eV/f.u.): -52.75